DFT (PBE) results for crystalline ZrIn2Sb at its relaxed geometry.

Summary:
raw formation energy: -0.16 eV per atom
V: 102.0 Å³/cell
energy: -4.69 eV/atom
ρ: 7.203 g/cm³
total magnetization: 0.0 μB/cell

a b c (Å): 3.222 3.222 9.826
angles (deg): 90.00 90.00 90.00
Positions (direct):
In (0.500, 0.500, 0.233)
In (0.000, 0.000, 0.976)
Sb (0.000, 0.000, 0.535)
Zr (0.500, 0.500, 0.757)